DFT (SCAN) results for a crystal of ScNi2Ir relaxed with PBEsol.

The calculated total energy is -29.776 eV per atom. The calculation puts the density of states at the Fermi level at 0.51 states/eV/atom. The size of the total moment comes out at 1.2 Bohr magnetons per cell. For the formation energy from the elements, the calculation gives -0.355 eV per atom.

a = 3.091 Å, b = 3.091 Å, c = 5.624 Å
α = 90.00°, β = 90.00°, γ = 90.00°
Fractional positions:
Sc1 0.000 0.000 0.000
Ni1 0.000 0.000 0.529
Ni2 0.500 0.500 0.731
Ir1 0.500 0.500 0.288



DFT (SCAN) results for a crystal of Dy3Pd2 relaxed with PBEsol.

The calculated total energy is -42.608 eV per atom. The calculation puts the density of states at the Fermi level at 0.77 states/eV/atom. The size of the total moment comes out at 0.0 Bohr magnetons per cell. For the formation energy from the elements, the calculation gives -0.821 eV per atom.

a = 7.665 Å, b = 7.665 Å, c = 3.862 Å
α = 90.00°, β = 90.00°, γ = 90.00°
Fractional positions:
Dy1 0.000 0.000 0.000
Dy2 0.166 0.334 0.500
Dy3 0.334 0.834 0.500
Dy4 0.500 0.500 0.000
Dy5 0.666 0.166 0.500
Dy6 0.834 0.666 0.500
Pd1 0.131 0.631 0.000
Pd2 0.369 0.131 0.000
Pd3 0.631 0.869 0.000
Pd4 0.869 0.369 0.000



DFT (SCAN) results for a crystal of YSc2Si relaxed with PBEsol.

The calculated total energy is -16.860 eV per atom. The calculation puts the density of states at the Fermi level at 0.88 states/eV/atom. The size of the total moment comes out at 0.0 Bohr magnetons per cell. The value obtained for the formation energy from raw total energies is -0.28 eV per atom.

a = 3.770 Å, b = 3.770 Å, c = 6.088 Å
α = 90.00°, β = 90.00°, γ = 90.00°
Fractional positions:
Y1 0.000 0.000 0.000
Sc1 0.000 0.000 0.545
Sc2 0.500 0.500 0.292
Si1 0.500 0.500 0.757



DFT (SCAN) results for a crystal of PbSI3 relaxed with PBEsol.

The calculated total energy is -38.945 eV per atom. The calculation puts the density of states at the Fermi level at 0.44 states/eV/atom. The size of the total moment comes out at 0.5 Bohr magnetons per cell. The value obtained for the formation energy from raw total energies is 0.18 eV per atom.

a = 5.479 Å, b = 5.479 Å, c = 5.479 Å
α = 90.00°, β = 90.00°, γ = 90.00°
Fractional positions:
Pb1 0.000 0.000 0.000
S1 0.500 0.500 0.500
I1 0.000 0.500 0.500
I2 0.500 0.000 0.500
I3 0.500 0.500 0.000



DFT (SCAN) results for a crystal of CrAsC3 relaxed with PBEsol.

The calculated total energy is -11.709 eV per atom. The calculation puts the density of states at the Fermi level at 0.53 states/eV/atom. The size of the total moment comes out at 0.0 Bohr magnetons per cell. For the formation energy from the elements, the calculation gives 2.066 eV per atom.

a = 3.813 Å, b = 3.813 Å, c = 3.813 Å
α = 90.00°, β = 90.00°, γ = 90.00°
Fractional positions:
Cr1 0.000 0.000 0.000
As1 0.500 0.500 0.500
C1 0.000 0.000 0.500
C2 0.000 0.500 0.000
C3 0.500 0.000 0.000



DFT (SCAN) results for a crystal of SrLi2Au relaxed with PBEsol.

The calculated total energy is -24.488 eV per atom. The calculation puts the density of states at the Fermi level at 0.39 states/eV/atom. The size of the total moment comes out at 0.0 Bohr magnetons per cell. The calculation puts the energy above the lowest structure with this stoichiometry at 0.091 eV/atom. For the formation energy from the elements, the calculation gives -0.435 eV per atom.

a = 5.949 Å, b = 5.949 Å, c = 5.949 Å
α = 143.77°, β = 129.65°, γ = 63.60°
Fractional positions:
Sr1 0.000 0.000 0.000
Li1 0.297 0.797 0.500
Li2 0.703 0.203 0.500
Au1 0.500 0.500 0.000



DFT (SCAN) results for a crystal of KCoPb2Se relaxed with PBEsol.

The calculated total energy is -37.931 eV per atom. The calculation puts the density of states at the Fermi level at 0.88 states/eV/atom. The size of the total moment comes out at 0.9 Bohr magnetons per cell. The value obtained for the formation energy from raw total energies is 1.52 eV per atom.

a = 5.818 Å, b = 5.818 Å, c = 4.182 Å
α = 90.00°, β = 90.00°, γ = 90.00°
Fractional positions:
K1 0.000 0.000 0.000
Co1 0.000 0.000 0.500
Pb1 0.000 0.500 0.000
Pb2 0.500 0.000 0.000
Se1 0.500 0.500 0.500



DFT (SCAN) results for a crystal of KCd2Cu relaxed with PBEsol.

The calculated total energy is -20.711 eV per atom. The calculation puts the density of states at the Fermi level at 0.29 states/eV/atom. The size of the total moment comes out at 0.0 Bohr magnetons per cell. The calculation puts the energy above the lowest structure with this stoichiometry at 0.349 eV/atom. For the formation energy from the elements, the calculation gives 0.378 eV per atom.

a = 6.509 Å, b = 6.509 Å, c = 2.821 Å
α = 101.64°, β = 101.64°, γ = 122.68°
Fractional positions:
K1 0.000 0.000 0.000
Cd1 0.000 0.500 0.500
Cd2 0.500 0.000 0.500
Cu1 0.500 0.500 0.000



DFT (SCAN) results for a crystal of ZnSeO3 relaxed with PBEsol.

The calculated total energy is -11.639 eV per atom. The calculation puts the density of states at the Fermi level at 0.00 states/eV/atom. The size of the total moment comes out at 0.0 Bohr magnetons per cell. The value obtained for the formation energy from raw total energies is -1.18 eV per atom.

a = 5.891 Å, b = 7.600 Å, c = 5.049 Å
α = 90.00°, β = 90.00°, γ = 90.00°
Fractional positions:
Zn1 0.000 0.000 0.000
Zn2 0.000 0.500 0.000
Zn3 0.500 0.000 0.500
Zn4 0.500 0.500 0.500
Se1 0.018 0.250 0.484
Se2 0.482 0.750 0.984
Se3 0.518 0.250 0.016
Se4 0.982 0.750 0.516
O1 0.076 0.250 0.822
O2 0.184 0.076 0.362
O3 0.184 0.424 0.362
O4 0.316 0.576 0.862
O5 0.316 0.924 0.862
O6 0.424 0.750 0.322
O7 0.576 0.250 0.678
O8 0.684 0.076 0.138
O9 0.684 0.424 0.138
O10 0.816 0.576 0.638
O11 0.816 0.924 0.638
O12 0.924 0.750 0.178



DFT (SCAN) results for a crystal of KBa2Bi2 relaxed with PBEsol.

The calculated total energy is -49.756 eV per atom. The calculation puts the density of states at the Fermi level at 0.24 states/eV/atom. The size of the total moment comes out at 0.0 Bohr magnetons per cell. The calculation puts the energy above the lowest structure with this stoichiometry at 0.000 eV/atom. For the formation energy from the elements, the calculation gives -0.838 eV per atom.

a = 10.118 Å, b = 10.118 Å, c = 4.069 Å
α = 90.00°, β = 90.00°, γ = 90.00°
Fractional positions:
K1 0.000 0.000 0.000
K2 0.500 0.500 0.000
Ba1 0.132 0.368 0.500
Ba2 0.368 0.868 0.500
Ba3 0.632 0.132 0.500
Ba4 0.868 0.632 0.500
Bi1 0.166 0.666 0.000
Bi2 0.334 0.166 0.000
Bi3 0.666 0.834 0.000
Bi4 0.834 0.334 0.000



DFT (SCAN) results for a crystal of SrHgP2Cl relaxed with PBEsol.

The calculated total energy is -23.620 eV per atom. The calculation puts the density of states at the Fermi level at 0.29 states/eV/atom. The size of the total moment comes out at 5.0 Bohr magnetons per cell. The value obtained for the formation energy from raw total energies is 0.22 eV per atom.

a = 6.077 Å, b = 6.077 Å, c = 5.454 Å
α = 90.00°, β = 90.00°, γ = 90.00°
Fractional positions:
Sr1 0.000 0.000 0.000
Hg1 0.500 0.500 0.500
P1 0.000 0.500 0.000
P2 0.500 0.000 0.000
Cl1 0.000 0.000 0.500



DFT (SCAN) results for a crystal of Sc2As2Ru relaxed with PBEsol.

The calculated total energy is -21.182 eV per atom. The calculation puts the density of states at the Fermi level at 0.32 states/eV/atom. The size of the total moment comes out at 0.0 Bohr magnetons per cell. For the formation energy from the elements, the calculation gives -0.446 eV per atom.

a = 7.906 Å, b = 7.906 Å, c = 7.906 Å
α = 154.35°, β = 154.35°, γ = 36.59°
Fractional positions:
Sc1 0.099 0.099 0.000
Sc2 0.901 0.901 0.000
As1 0.250 0.750 0.500
As2 0.750 0.250 0.500
Ru1 0.500 0.500 0.000